# 1
Compound: ScCu2
Source: Alexandria via LeMat-Bulk
Functional: PBE
Structure: relaxed

Cell lengths 4.4698, 4.4698, 5.3822 Å; angles 90.00, 90.00, 120.00 degrees
Space group P6_3/mmc (No. 194)
Symmetry-distinct sites (fractional):
Sc (0.3333, 0.6667, 0.2500)
Cu (0.0000, 0.0000, 0.0000)
Cu (0.3333, 0.6667, 0.7500)

Properties
Energy of formation ... -0.164 eV/atom
Theoretical density ... 6136 kg/m³

# 2
Compound: RbZn3
Source: Alexandria via LeMat-Bulk
Functional: PBE
Structure: relaxed

Cell lengths 7.6755, 4.4323, 6.9750 Å; angles 90.00, 111.41, 90.00 degrees
Space group C2/m (No. 12)
Symmetry-distinct sites (fractional):
Rb (0.0000, 0.0000, 0.0000)
Zn (0.0000, 0.5000, 0.5000)
Zn (0.1812, 0.0000, 0.5437)

Properties
Energy of formation ... -0.019 eV/atom
Theoretical density ... 4235 kg/m³

# 3
Compound: Sm6Ga2Pt
Source: Alexandria via LeMat-Bulk
Functional: PBE
Structure: relaxed

Cell lengths 6.1548, 8.4767, 11.3724 Å; angles 90.00, 119.56, 90.00 degrees
Space group P2_1/c (No. 14)
Symmetry-distinct sites (fractional):
Sm (0.0663, 0.1723, 0.4411)
Sm (0.3315, 0.6772, 0.4394)
Sm (0.3846, 0.0343, 0.2676)
Ga (0.1771, 0.1247, 0.7510)
Pt (0.0000, 0.0000, 0.0000)

Properties
Energy of formation ... -0.449 eV/atom
Theoretical density ... 7958 kg/m³

# 4
Compound: AcAgIO6
Source: Alexandria via LeMat-Bulk
Functional: PBE
Structure: relaxed

Cell lengths 5.6109, 5.6109, 5.1787 Å; angles 90.00, 90.00, 120.00 degrees
Space group P312 (No. 149)
Symmetry-distinct sites (fractional):
Ac (0.0000, 0.0000, 0.0000)
Ag (0.3333, 0.6667, 0.5000)
I (0.6667, 0.3333, 0.5000)
O (0.3911, 0.0534, 0.7131)

Properties
Raw formation energy ... -26.47 kcal/mol of atoms
Theoretical density ... 6560 kg/m³

# 5
Compound: Li2U2ZnN6
Source: Alexandria via LeMat-Bulk
Functional: PBE
Structure: relaxed

Cell lengths 5.8782, 5.8782, 15.4001 Å; angles 90.00, 90.00, 120.00 degrees
Space group R-3m (No. 166, hexagonal axes)
Symmetry-distinct sites (fractional):
Li (0.0000, 0.0000, 0.0866)
U (0.0000, 0.0000, 0.3152)
Zn (0.0000, 0.0000, 0.5000)
N (0.0366, 0.5183, 0.2653)

Properties
Raw formation energy ... -0.54 kcal/mol of atoms
Theoretical density ... 6912 kg/m³

# 6
Compound: TaHgOs2
Source: Alexandria via LeMat-Bulk
Functional: PBE
Structure: relaxed

Cell lengths 2.8608, 4.0576, 5.7423 Å; angles 90.00, 90.14, 90.00 degrees
Space group Pm (No. 6)
Symmetry-distinct sites (fractional):
Ta (0.0000, 0.0000, 0.0000)
Hg (0.5043, 0.5000, 0.2810)
Os (0.0051, 0.0000, 0.5561)
Os (0.5094, 0.5000, 0.7662)

Properties
Energy of formation ... 0.368 eV/atom
Theoretical density ... 18983 kg/m³

# 7
Compound: Sm3CoPt
Source: Alexandria via LeMat-Bulk
Functional: PBE
Structure: relaxed

Cell lengths 8.1898, 3.9384, 8.2211 Å; angles 90.00, 111.01, 90.00 degrees
Space group P2_1/m (No. 11)
Symmetry-distinct sites (fractional):
Sm (0.0531, 0.2500, 0.1845)
Sm (0.2263, 0.7500, 0.5706)
Sm (0.4046, 0.7500, 0.1423)
Co (0.4390, 0.2500, 0.4466)
Pt (0.2214, 0.2500, 0.8484)

Properties
Energy of formation ... -0.535 eV/atom
Theoretical density ... 9460 kg/m³

# 8
Compound: ScAl2Si
Source: Alexandria via LeMat-Bulk
Functional: PBE
Structure: relaxed

Cell lengths 5.5258, 9.8738, 3.0424 Å; angles 90.00, 121.65, 90.00 degrees
Space group C2/m (No. 12)
Symmetry-distinct sites (fractional):
Sc (0.0000, 0.0000, 0.0000)
Al (0.2500, 0.2500, 0.0000)
Si (0.0000, 0.5000, 0.0000)

Properties
Raw formation energy ... -4.90 kcal/mol of atoms
Theoretical density ... 2985 kg/m³

# 9
Compound: SiIrOs
Source: Alexandria via LeMat-Bulk
Functional: PBE
Structure: relaxed

Cell lengths 2.8230, 4.8184, 12.6191 Å; angles 90.00, 90.00, 90.00 degrees
Space group Fmm2 (No. 42)
Symmetry-distinct sites (fractional):
Si (0.0000, 0.0000, 0.0000)
Ir (0.0000, 0.0000, 0.6521)
Os (0.0000, 0.0000, 0.3499)

Properties
Raw formation energy ... 2.95 kcal/mol of atoms
E above lowest polymorph ... 329 meV/atom
Theoretical density ... 15886 kg/m³

# 10
Compound: Sr2ZrBr
Source: Alexandria via LeMat-Bulk
Functional: PBE
Structure: relaxed

Cell lengths 3.8674, 5.3719, 6.9269 Å; angles 90.00, 90.00, 90.00 degrees
Space group Pmmm (No. 47)
Symmetry-distinct sites (fractional):
Sr (0.0000, 0.0000, 0.0000)
Sr (0.5000, 0.0000, 0.5000)
Zr (0.0000, 0.5000, 0.5000)
Br (0.5000, 0.5000, 0.0000)

Properties
Raw formation energy ... 4.12 kcal/mol of atoms
E above lowest polymorph ... 559 meV/atom
Theoretical density ... 3997 kg/m³

# 11
Compound: GdHoScTl
Source: Alexandria via LeMat-Bulk
Functional: PBE
Structure: relaxed

Cell lengths 7.5958, 7.5958, 7.5958 Å; angles 90.00, 90.00, 90.00 degrees
Space group F-43m (No. 216)
Symmetry-distinct sites (fractional):
Gd (0.0000, 0.0000, 0.0000)
Ho (0.0000, 0.0000, 0.5000)
Sc (0.2500, 0.2500, 0.2500)
Tl (0.2500, 0.2500, 0.7500)

Properties
Energy of formation ... -0.072 eV/atom
Theoretical density ... 8662 kg/m³

# 12
Compound: Na2Zn2Ga3
Source: Alexandria via LeMat-Bulk
Functional: PBE
Structure: relaxed

Cell lengths 10.9473, 3.8096, 7.0854 Å; angles 90.00, 100.37, 90.00 degrees
Space group C2/m (No. 12)
Symmetry-distinct sites (fractional):
Na (0.1444, 0.0000, 0.3387)
Zn (0.0715, 0.5000, 0.6620)
Ga (0.0000, 0.5000, 0.0000)
Ga (0.1868, 0.0000, 0.8877)

Properties
Energy of formation ... -0.028 eV/atom
Theoretical density ... 4410 kg/m³

# 13
Compound: Ba2LiSbH
Source: Alexandria via LeMat-Bulk
Functional: PBE
Structure: relaxed

Cell lengths 5.5444, 5.5444, 4.6680 Å; angles 90.00, 90.00, 90.00 degrees
Space group P4/mmm (No. 123)
Symmetry-distinct sites (fractional):
Ba (0.0000, 0.5000, 0.0000)
Li (0.0000, 0.0000, 0.5000)
Sb (0.5000, 0.5000, 0.5000)
H (0.0000, 0.0000, 0.0000)

Properties
E above lowest polymorph ... 36 meV/atom
Theoretical density ... 4679 kg/m³

# 14
Compound: BaMn2
Source: Alexandria via LeMat-Bulk
Functional: PBE
Structure: relaxed

Cell lengths 11.5544, 5.4911, 4.7546 Å; angles 90.00, 90.00, 90.00 degrees
Space group Cmcm (No. 63)
Symmetry-distinct sites (fractional):
Ba (0.0000, 0.2351, 0.2500)
Mn (0.2277, 0.3670, 0.7500)

Properties
Energy of formation ... 0.683 eV/atom
Theoretical density ... 5443 kg/m³

# 15
Compound: HfMn2Br
Source: Alexandria via LeMat-Bulk
Functional: PBE
Structure: relaxed

Cell lengths 7.4779, 7.4779, 5.3740 Å; angles 90.00, 90.00, 90.00 degrees
Space group I-42d (No. 122)
Symmetry-distinct sites (fractional):
Hf (0.0000, 0.0000, 0.0000)
Mn (0.2196, 0.7500, 0.6250)
Br (0.0000, 0.0000, 0.5000)

Properties
Raw formation energy ... 11.45 kcal/mol of atoms
E above lowest polymorph ... 0 meV/atom
Theoretical density ... 8140 kg/m³